a.
Computed, not measured: V2PbF after structural relaxation at the GGA+U level of DFT.

Values from the calculation:
- V: 18.58 A^3/atom

Unit cell a=6.674 b=6.674 c=6.674 alpha=90.00 beta=90.00 gamma=90.00
Atoms (fractional coordinates):
V1 0.250 0.250 0.250
V2 0.250 0.250 0.750
V3 0.250 0.750 0.250
V4 0.250 0.750 0.750
V5 0.750 0.250 0.250
V6 0.750 0.250 0.750
V7 0.750 0.750 0.250
V8 0.750 0.750 0.750
Pb1 0.000 0.000 0.000
Pb2 0.000 0.500 0.500
Pb3 0.500 0.000 0.500
Pb4 0.500 0.500 0.000
F1 0.000 0.000 0.500
F2 0.000 0.500 0.000
F3 0.500 0.000 0.000
F4 0.500 0.500 0.500

***

b.
Computed, not measured: V2PbF after structural relaxation at the GGA+U level of DFT.

Values from the calculation:
- V: 23.03 A^3/atom

Unit cell a=5.399 b=5.399 c=12.640 alpha=90.00 beta=90.00 gamma=90.00
Atoms (fractional coordinates):
V1 0.052 0.250 0.125
V2 0.250 0.552 0.375
V3 0.250 0.948 0.875
V4 0.448 0.250 0.625
V5 0.552 0.750 0.625
V6 0.750 0.052 0.875
V7 0.750 0.448 0.375
V8 0.948 0.750 0.125
Pb1 0.000 0.000 0.500
Pb2 0.000 0.500 0.750
Pb3 0.500 0.000 0.250
Pb4 0.500 0.500 0.000
F1 0.000 0.000 0.000
F2 0.000 0.500 0.250
F3 0.500 0.000 0.750
F4 0.500 0.500 0.500

***

b ends up most stable, edging out the next structure by 391 meV per atom.

***

a.
Computed, not measured: PbW3F after structural relaxation at the GGA+U level of DFT.

Values from the calculation:
- V: 39.29 A^3/atom

Unit cell a=5.813 b=5.813 c=5.813 alpha=90.00 beta=90.00 gamma=90.00
Atoms (fractional coordinates):
Pb1 0.000 0.000 0.000
W1 0.000 0.000 0.500
W2 0.000 0.500 0.000
W3 0.500 0.000 0.000
F1 0.500 0.500 0.500

***

b.
Computed, not measured: PbW3F after structural relaxation at the GGA+U level of DFT.

Values from the calculation:
- V: 17.92 A^3/atom

Unit cell a=4.475 b=4.475 c=4.475 alpha=90.00 beta=90.00 gamma=90.00
Atoms (fractional coordinates):
Pb1 0.000 0.000 0.000
W1 0.000 0.500 0.500
W2 0.500 0.000 0.500
W3 0.500 0.500 0.000
F1 0.500 0.500 0.500

***

b ends up most stable, edging out the next structure by 680 meV per atom.